# HfVCrP2 PBE relaxed
# Formation enthalpy at 0 K   145.7 kJ/mol of atoms
# Excess energy over the best structure of this formula in the dataset   234 meV per atom
# DOS(E_F)   4.86 states/eV/f.u.
# DFT total energy   -6.39 eV per atom
data_HfVCrP2
_chemical_formula_sum 'Hf1 V1 Cr1 P2'
_cell_length_a 4.8595
_cell_length_b 4.8595
_cell_length_c 4.7020
_cell_angle_alpha 90.00
_cell_angle_beta 90.00
_cell_angle_gamma 90.00
_space_group_name_H-M_alt 'P 4/m m m'
_space_group_IT_number 123
_space_group_name_Hall '-P 4 2'
loop_
_atom_site_label
_atom_site_type_symbol
_atom_site_fract_x
_atom_site_fract_y
_atom_site_fract_z
_atom_site_occupancy
Hf1 Hf 0.0000 0.0000 0.0000 1
V1 V 0.0000 0.0000 0.5000 1
Cr1 Cr 0.5000 0.5000 0.5000 1
P1 P 0.0000 0.5000 0.0000 1